Record 1
Density functional theory data (GGA-PBE) for a relaxed CeGa2Rh2 crystal.

```
CeGa2Rh2
1.0
0.000 4.640 6.927
2.939 0.000 6.927
2.939 4.640 0.000
Ce Ga Rh
2 4 4
Cartesian
0.735 1.160 1.732 Ce
5.143 8.119 12.123 Ce
2.204 3.480 3.759 Ga
2.204 3.480 6.632 Ga
3.673 5.799 7.223 Ga
3.673 5.799 10.095 Ga
2.204 1.362 5.196 Rh
3.673 3.681 8.659 Rh
2.204 5.598 5.196 Rh
3.673 7.917 8.659 Rh
```

Calculated values
* energy of formation: -665 meV per atom
* SG: Fddd
* ρ: 8534 kg/m³
* size of the total moment: 0.00 Bohr magnetons per cell

Record 2
Density functional theory data (GGA-PBE) for a relaxed Ce4GaRh12 crystal.

```
Ce4GaRh12
1.0
-4.174 4.174 4.174
4.174 -4.174 4.174
4.174 4.174 -4.174
Ce Ga Rh
4 1 12
Cartesian
2.087 2.087 -2.087 Ce
2.087 -2.087 2.087 Ce
-2.087 2.087 2.087 Ce
2.087 2.087 2.087 Ce
0.000 0.000 0.000 Ga
2.405 0.000 0.000 Rh
5.943 0.000 0.000 Rh
4.174 2.087 0.000 Rh
4.174 0.000 2.087 Rh
0.000 2.405 0.000 Rh
0.000 0.000 2.405 Rh
2.087 4.174 0.000 Rh
2.087 0.000 4.174 Rh
0.000 5.943 0.000 Rh
0.000 0.000 5.943 Rh
0.000 4.174 2.087 Rh
0.000 2.087 4.174 Rh
```

Calculated values
* energy of formation: -637 meV per atom
* SG: Im-3m
* ρ: 10648 kg/m³
* size of the total moment: 0.00 Bohr magnetons per cell

Record 3
Density functional theory data (GGA-PBE) for a relaxed CeGa2Rh4 crystal.

```
CeGa2Rh4
1.0
0.000 4.174 4.971
2.786 0.000 4.971
2.786 4.174 0.000
Ce Ga Rh
1 2 4
Cartesian
0.000 0.000 0.000 Ce
2.786 4.174 3.098 Ga
2.786 4.174 6.844 Ga
1.393 2.087 2.485 Rh
2.786 2.446 4.971 Rh
2.786 5.903 4.971 Rh
4.179 6.261 7.456 Rh
```

Calculated values
* energy of formation: -684 meV per atom
* SG: Fmmm
* ρ: 9926 kg/m³
* size of the total moment: 0.00 Bohr magnetons per cell